CuIr2Br | GGA-PBE | relaxed

Values from the calculation:
For the theoretical density, the calculation gives 14.454 g/cm3. The calculation puts the offset from the most stable computed form at 609 meV/atom. As for the uncorrected formation energy: 1.06 eV per atom.

abc: 6.237 6.237 6.237
angles: 90.00 90.00 90.00
Space group Fm-3m (No. 225)
One atom of each set of equivalent atoms:
Cu 0.000 0.000 0.000 (multiplicity 4)
Ir 0.250 0.250 0.250 (multiplicity 8)
Br 0.000 0.000 0.500 (multiplicity 4)

***

Na4TiPd3O8 | GGA-PBE | relaxed

Values from the calculation:
For the theoretical density, the calculation gives 4.906 g/cm3. As for the uncorrected formation energy: -1.38 eV per atom.

abc: 12.011 5.997 6.125
angles: 90.00 115.73 90.00
Space group C2/m (No. 12)
One atom of each set of equivalent atoms:
Na 0.000 0.000 0.000 (multiplicity 2)
Na 0.000 0.500 0.000 (multiplicity 2)
Na 0.250 0.250 0.500 (multiplicity 4)
Ti 0.000 0.000 0.500 (multiplicity 2)
Pd 0.000 0.500 0.500 (multiplicity 2)
Pd 0.250 0.250 0.000 (multiplicity 4)
O 0.037 0.239 0.321 (multiplicity 8)
O 0.187 0.000 0.746 (multiplicity 4)
O 0.188 0.500 0.748 (multiplicity 4)

***

| no. | DOS(E_F) (states/eV per cell) |
| --- | --- |
| 1 | 19.00 |
| 2 | 0.01 |